Record 1
Density functional theory data (PBE) for a geometry-optimized SiGe2Pb structure.

The space group is I-42d (No. 122) and the conventional cell measures 6.015, 6.015 and 11.835 Å, with angles of 90.00, 90.00 and 90.00 degrees. The asymmetric unit holds Si at (0.000, 0.000, 0.000), Ge at (0.204, 0.250, 0.125) and Pb at (0.000, 0.000, 0.500).

The calculation puts the density of states at the Fermi level at 0.01 states/eV per atom. The energy relative to the elements, uncorrected comes out at 173 meV per atom. The value obtained for the raw total energy is -0.16239 hartree per atom. The energy above the most stable polymorph in this dataset comes out at 0 meV per atom.

Record 2
Density functional theory data (PBE) for a geometry-optimized SiSn2GePb structure.

The space group is P4/mmm (No. 123) and the conventional cell measures 5.374, 5.374 and 4.740 Å, with angles of 90.00, 90.00 and 90.00 degrees. The asymmetric unit holds Si at (0.000, 0.000, 0.000), Sn at (0.000, 0.500, 0.000), Ge at (0.000, 0.000, 0.500) and Pb at (0.500, 0.500, 0.500).

The calculation puts the density of states at the Fermi level at 0.45 states/eV per atom. The energy relative to the elements, uncorrected comes out at 416 meV per atom. The value obtained for the raw total energy is -0.14461 hartree per atom.

Record 3
Density functional theory data (PBE) for a geometry-optimized Tl2SiGePb structure.

The space group is P4/mmm (No. 123) and the conventional cell measures 5.443, 5.443 and 4.883 Å, with angles of 90.00, 90.00 and 90.00 degrees. The asymmetric unit holds Tl at (0.000, 0.500, 0.000), Si at (0.000, 0.000, 0.000), Ge at (0.000, 0.000, 0.500) and Pb at (0.500, 0.500, 0.500).

The calculation puts the density of states at the Fermi level at 0.69 states/eV per atom. The energy relative to the elements, uncorrected comes out at 443 meV per atom. The value obtained for the raw total energy is -0.11956 hartree per atom.

Record 4
Density functional theory data (PBE) for a geometry-optimized Sm2GePb structure.

The space group is R-3m (No. 166, hexagonal axes) and the conventional cell measures 4.1895, 4.1895 and 23.8599 Å, with angles of 90.00, 90.00 and 120.00 degrees. The asymmetric unit holds Sm at (0.0000, 0.0000, 0.2364), Ge at (0.0000, 0.0000, 0.5000) and Pb at (0.0000, 0.0000, 0.0000).

The calculation puts the density of states at the Fermi level at 0.99 states/eV per atom. The value obtained for the raw total energy is -0.18452 hartree per atom. The value obtained for the formation energy is -0.580 eV per atom.